Entry from Alexandria: an optimized crystal structure of Mg2BeTc (PBE).

a = 6.2402 Å, b = 6.2402 Å, c = 6.2402 Å
α = 90.00°, β = 90.00°, γ = 90.00°
Space group Fm-3m (No. 225)
Symmetry-distinct sites (fractional):
Mg1 0.2500 0.2500 0.2500 (multiplicity 8)
Be1 0.0000 0.0000 0.0000 (multiplicity 4)
Tc1 0.0000 0.0000 0.5000 (multiplicity 4)

Summary:
**Density**: 4.254 g cm⁻³
**Crystal system**: cubic
**Energy of formation from the pure elements**: 0.443 eV per atom
**ΔE to the lowest computed polymorph**: 1.19 eV per formula unit

---

Entry from Alexandria: an optimized crystal structure of Mg2BeTc (PBE).

a = 3.8853 Å, b = 3.8853 Å, c = 7.8620 Å
α = 90.00°, β = 90.00°, γ = 90.00°
Space group I-4m2 (No. 119)
Symmetry-distinct sites (fractional):
Mg1 0.0000 0.0000 0.0000 (multiplicity 2)
Mg2 0.0000 0.5000 0.2500 (multiplicity 2)
Be1 0.0000 0.0000 0.5000 (multiplicity 2)
Tc1 0.0000 0.5000 0.7500 (multiplicity 2)

Summary:
**Density**: 4.355 g cm⁻³
**Crystal system**: tetragonal
**Energy of formation from the pure elements**: 0.279 eV per atom
**ΔE to the lowest computed polymorph**: 0.54 eV per formula unit

---

Entry from Alexandria: an optimized crystal structure of Mg2BeTc (PBE).

a = 6.1958 Å, b = 6.1958 Å, c = 6.1958 Å
α = 90.00°, β = 90.00°, γ = 90.00°
Space group F-43m (No. 216)
Symmetry-distinct sites (fractional):
Mg1 0.0000 0.0000 0.0000 (multiplicity 4)
Mg2 0.2500 0.2500 0.2500 (multiplicity 4)
Be1 0.0000 0.0000 0.5000 (multiplicity 4)
Tc1 0.2500 0.2500 0.7500 (multiplicity 4)

Summary:
**Density**: 4.346 g cm⁻³
**Crystal system**: cubic
**Energy of formation from the pure elements**: 0.334 eV per atom
**ΔE to the lowest computed polymorph**: 0.75 eV per formula unit

---

Entry from Alexandria: an optimized crystal structure of MgBeTc2 (PBE).

a = 10.2294 Å, b = 2.7716 Å, c = 4.3937 Å
α = 90.00°, β = 115.28°, γ = 90.00°
Space group C2/m (No. 12)
Symmetry-distinct sites (fractional):
Mg1 0.0000 0.0000 0.0000 (multiplicity 2)
Be1 0.0000 0.5000 0.5000 (multiplicity 2)
Tc1 0.2096 0.0000 0.7095 (multiplicity 4)

Summary:
**Density**: 6.761 g cm⁻³
**Crystal system**: monoclinic
**Energy of formation from the pure elements**: 0.187 eV per atom
**ΔE to the lowest computed polymorph**: 0.82 eV per formula unit

---

Entry from Alexandria: an optimized crystal structure of Mg2BeTc (PBE).

a = 2.7632 Å, b = 4.2157 Å, c = 5.4892 Å
α = 90.00°, β = 102.76°, γ = 90.00°
Space group Pm (No. 6)
Symmetry-distinct sites (fractional):
Mg1 0.0000 0.0000 0.0000 (multiplicity 1)
Mg2 0.3180 0.5000 0.6984 (multiplicity 1)
Be1 0.5166 0.0000 0.4254 (multiplicity 1)
Tc1 0.6803 0.5000 0.2443 (multiplicity 1)

Summary:
**Density**: 4.144 g cm⁻³
**Crystal system**: monoclinic
**Energy of formation from the pure elements**: 0.238 eV per atom
**ΔE to the lowest computed polymorph**: 0.37 eV per formula unit

---

Entry from Alexandria: an optimized crystal structure of MgBeTc2 (PBE).

a = 3.7109 Å, b = 3.7109 Å, c = 18.1958 Å
α = 90.00°, β = 90.00°, γ = 90.00°
Space group I-42d (No. 122)
Symmetry-distinct sites (fractional):
Mg1 0.0000 0.0000 0.0000 (multiplicity 4)
Be1 0.0000 0.0000 0.5000 (multiplicity 4)
Tc1 0.1974 0.7500 0.6250 (multiplicity 8)

Summary:
**Density**: 6.079 g cm⁻³
**Crystal system**: tetragonal
**Energy of formation from the pure elements**: 0.555 eV per atom
**ΔE to the lowest computed polymorph**: 2.29 eV per formula unit

---

- Among the records above, which one has the highest density?
  number 4